{"formula": "ZnAsIr2", "functional": "GGA-PBE", "state": "relaxed", "lattice": [[1.4691, 0.8482, 8.0225], [-1.4691, 0.8482, 8.0225], [0.0000, -1.6964, 8.0225]], "species": ["Zn", "As", "Ir", "Ir"], "frac_coords": [[0.0000, 0.0000, 0.0000], [0.5000, 0.5000, 0.5000], [0.2469, 0.2469, 0.2469], [0.7531, 0.7531, 0.7531]], "mass_density_g_cm3": 14.527, "relative_energy_kj_per_mol_atoms": 1.6, "vol_a3_per_fu": 60.0}